[1]
# PBE Zr2TlAu, relaxed
data_Zr2TlAu
_cell_length_a 7.827
_cell_length_b 7.827
_cell_length_c 6.141
_cell_angle_alpha 90.00
_cell_angle_beta 90.00
_cell_angle_gamma 90.00
_symmetry_space_group_name_H-M 'I -4 2 d'
_symmetry_Int_Tables_number 122
_symmetry_space_group_name_Hall 'I -4 2bw'
loop_
_atom_site_label
_atom_site_fract_x
_atom_site_fract_y
_atom_site_fract_z
Zr1 0.228 0.250 0.125
Tl1 0.000 0.000 0.500
Au1 0.000 0.000 0.000
# ΔH_f (0 K)   3.1 kJ/mol of atoms
# Fermi-level density of states   19.8 states/eV/cell

[2]
# PBE LaPd2AuSe, relaxed
data_LaPd2AuSe
_cell_length_a 5.029
_cell_length_b 5.029
_cell_length_c 4.957
_cell_angle_alpha 90.00
_cell_angle_beta 90.00
_cell_angle_gamma 90.00
_symmetry_space_group_name_H-M 'P 4/m m m'
_symmetry_Int_Tables_number 123
_symmetry_space_group_name_Hall '-P 4 2'
loop_
_atom_site_label
_atom_site_fract_x
_atom_site_fract_y
_atom_site_fract_z
La1 0.000 0.000 0.000
Pd1 0.000 0.500 0.500
Au1 0.500 0.500 0.500
Se1 0.500 0.500 0.000
# Fermi-level density of states   2.6 states/eV/cell
# ΔE_f (raw)   -0.8 eV per formula unit

[3]
# PBE Mg2ReRu, relaxed
data_Mg2ReRu
_cell_length_a 4.433
_cell_length_b 4.433
_cell_length_c 6.286
_cell_angle_alpha 90.00
_cell_angle_beta 90.00
_cell_angle_gamma 90.00
_symmetry_space_group_name_H-M 'I -4 m 2'
_symmetry_Int_Tables_number 119
_symmetry_space_group_name_Hall 'I -4 -2'
loop_
_atom_site_label
_atom_site_fract_x
_atom_site_fract_y
_atom_site_fract_z
Mg1 0.000 0.000 0.000
Mg2 0.000 0.500 0.250
Re1 0.000 0.500 0.750
Ru1 0.000 0.000 0.500
# ΔH_f (0 K)   15.1 kJ/mol of atoms
# Fermi-level density of states   5.6 states/eV/cell

[4]
# PBE KSe3, relaxed
data_KSe3
_cell_length_a 10.698
_cell_length_b 8.118
_cell_length_c 5.878
_cell_angle_alpha 90.00
_cell_angle_beta 90.00
_cell_angle_gamma 90.00
_symmetry_space_group_name_H-M 'P n m a'
_symmetry_Int_Tables_number 62
loop_
_symmetry_equiv_pos_as_xyz
'x,y,z'
'-x,-y,-z'
'-x+1/2,-y,z+1/2'
'x+1/2,y,-z+1/2'
'x+1/2,-y+1/2,-z+1/2'
'-x+1/2,y+1/2,z+1/2'
'-x,y+1/2,-z'
'x,-y+1/2,z'
loop_
_atom_site_label
_atom_site_fract_x
_atom_site_fract_y
_atom_site_fract_z
K1 0.035 0.250 0.139
Se1 0.131 0.750 0.371
Se2 0.249 0.002 0.384
# Fermi-level density of states   3.2 states/eV/cell
# ΔE_f (raw)   -1.8 eV per formula unit

[5]
# PBE Tb3Ga4Si2, relaxed
data_Tb3Ga4Si2
_cell_length_a 10.874
_cell_length_b 4.148
_cell_length_c 8.254
_cell_angle_alpha 90.00
_cell_angle_beta 101.83
_cell_angle_gamma 90.00
_symmetry_space_group_name_H-M 'C 1 2/m 1'
_symmetry_Int_Tables_number 12
loop_
_symmetry_equiv_pos_as_xyz
'x,y,z'
'-x,-y,-z'
'-x,y,-z'
'x,-y,z'
'x+1/2,y+1/2,z'
'-x+1/2,-y+1/2,-z'
'-x+1/2,y+1/2,-z'
'x+1/2,-y+1/2,z'
loop_
_atom_site_label
_atom_site_fract_x
_atom_site_fract_y
_atom_site_fract_z
Tb1 0.000 0.000 0.000
Tb2 0.168 0.500 0.664
Ga1 0.057 0.000 0.389
Ga2 0.229 0.500 0.063
Si1 0.108 0.500 0.273
# Fermi-level density of states   6.3 states/eV/cell
# ΔE_f (raw)   -6.0 eV per formula unit

[6]
# PBE BeSnS3, relaxed
data_BeSnS3
_cell_length_a 4.454
_cell_length_b 4.454
_cell_length_c 4.454
_cell_angle_alpha 90.00
_cell_angle_beta 90.00
_cell_angle_gamma 90.00
_symmetry_space_group_name_H-M 'P m -3 m'
_symmetry_Int_Tables_number 221
_symmetry_space_group_name_Hall '-P 4 2 3'
loop_
_atom_site_label
_atom_site_fract_x
_atom_site_fract_y
_atom_site_fract_z
Be1 0.000 0.000 0.000
Sn1 0.500 0.500 0.500
S1 0.000 0.000 0.500
# Fermi-level density of states   3.4 states/eV/cell
# ΔE_f (raw)   0.1 eV per formula unit

[7]
# PBE Ce2CoNi, relaxed
data_Ce2CoNi
_cell_length_a 6.765
_cell_length_b 6.765
_cell_length_c 6.765
_cell_angle_alpha 90.00
_cell_angle_beta 90.00
_cell_angle_gamma 90.00
_symmetry_space_group_name_H-M 'F m -3 m'
_symmetry_Int_Tables_number 225
_symmetry_space_group_name_Hall '-F 4 2 3'
loop_
_atom_site_label
_atom_site_fract_x
_atom_site_fract_y
_atom_site_fract_z
Ce1 0.250 0.250 0.250
Co1 0.000 0.000 0.000
Ni1 0.000 0.000 0.500
# ΔH_f (0 K)   -15.3 kJ/mol of atoms
# Fermi-level density of states   34.4 states/eV/cell

[8]
# PBE YFeTc2, relaxed
data_YFeTc2
_cell_length_a 3.216
_cell_length_b 4.664
_cell_length_c 8.983
_cell_angle_alpha 90.00
_cell_angle_beta 90.00
_cell_angle_gamma 90.00
_symmetry_space_group_name_H-M 'I m m 2'
_symmetry_Int_Tables_number 44
loop_
_symmetry_equiv_pos_as_xyz
'x,y,z'
'-x,-y,z'
'-x,y,z'
'x,-y,z'
'x+1/2,y+1/2,z+1/2'
'-x+1/2,-y+1/2,z+1/2'
'-x+1/2,y+1/2,z+1/2'
'x+1/2,-y+1/2,z+1/2'
loop_
_atom_site_label
_atom_site_fract_x
_atom_site_fract_y
_atom_site_fract_z
Y1 0.000 0.000 0.000
Fe1 0.000 0.500 0.228
Tc1 0.000 0.000 0.497
Tc2 0.000 0.500 0.770
# ΔH_f (0 K)   27.8 kJ/mol of atoms
# Fermi-level density of states   8.1 states/eV/cell

[9]
# PBE Nd2Sn4Ir3Rh, relaxed
data_Nd2Sn4Ir3Rh
_cell_length_a 4.491
_cell_length_b 4.491
_cell_length_c 10.878
_cell_angle_alpha 90.00
_cell_angle_beta 90.00
_cell_angle_gamma 90.00
_symmetry_space_group_name_H-M 'P -4 m 2'
_symmetry_Int_Tables_number 115
loop_
_symmetry_equiv_pos_as_xyz
'x,y,z'
'y,-x,-z'
'-x,-y,z'
'-y,x,-z'
'-x,y,z'
'-y,-x,-z'
'x,-y,z'
'y,x,-z'
loop_
_atom_site_label
_atom_site_fract_x
_atom_site_fract_y
_atom_site_fract_z
Nd1 0.000 0.500 0.250
Sn1 0.000 0.000 0.000
Sn2 0.000 0.500 0.629
Sn3 0.500 0.500 0.000
Ir1 0.000 0.500 0.867
Ir2 0.500 0.500 0.500
Rh1 0.000 0.000 0.500
# ΔH_f (0 K)   -58.0 kJ/mol of atoms
# Fermi-level density of states   6.2 states/eV/cell

[10]
# PBE La6Ru2SeCl3, relaxed
data_La6Ru2SeCl3
_cell_length_a 7.330
_cell_length_b 12.707
_cell_length_c 7.850
_cell_angle_alpha 90.00
_cell_angle_beta 107.85
_cell_angle_gamma 90.00
_symmetry_space_group_name_H-M 'C 1 2/m 1'
_symmetry_Int_Tables_number 12
loop_
_symmetry_equiv_pos_as_xyz
'x,y,z'
'-x,-y,-z'
'-x,y,-z'
'x,-y,z'
'x+1/2,y+1/2,z'
'-x+1/2,-y+1/2,-z'
'-x+1/2,y+1/2,-z'
'x+1/2,-y+1/2,z'
loop_
_atom_site_label
_atom_site_fract_x
_atom_site_fract_y
_atom_site_fract_z
La1 0.214 0.000 0.212
La2 0.250 0.178 0.788
Ru1 0.000 0.167 0.000
Se1 0.000 0.500 0.000
Cl1 0.000 0.000 0.500
Cl2 0.000 0.337 0.500
# Fermi-level density of states   20.9 states/eV/cell
# ΔE_f (raw)   -15.4 eV per formula unit

[11]
# PBE PdPb3N, relaxed
data_PdPb3N
_cell_length_a 5.281
_cell_length_b 5.281
_cell_length_c 5.281
_cell_angle_alpha 90.00
_cell_angle_beta 90.00
_cell_angle_gamma 90.00
_symmetry_space_group_name_H-M 'P m -3 m'
_symmetry_Int_Tables_number 221
_symmetry_space_group_name_Hall '-P 4 2 3'
loop_
_atom_site_label
_atom_site_fract_x
_atom_site_fract_y
_atom_site_fract_z
Pd1 0.000 0.000 0.000
Pb1 0.000 0.000 0.500
N1 0.500 0.500 0.500
# Fermi-level density of states   3.1 states/eV/cell
# ΔE_f (raw)   5.6 eV per formula unit

[12]
# PBE Y4GaSe2S, relaxed
data_Y4GaSe2S
_cell_length_a 7.073
_cell_length_b 4.020
_cell_length_c 7.148
_cell_angle_alpha 90.00
_cell_angle_beta 108.95
_cell_angle_gamma 90.00
_symmetry_space_group_name_H-M 'P 1 2/m 1'
_symmetry_Int_Tables_number 10
loop_
_symmetry_equiv_pos_as_xyz
'x,y,z'
'-x,-y,-z'
'-x,y,-z'
'x,-y,z'
loop_
_atom_site_label
_atom_site_fract_x
_atom_site_fract_y
_atom_site_fract_z
Y1 0.246 0.000 0.234
Y2 0.253 0.500 0.759
Ga1 0.500 0.000 0.000
Se1 0.000 0.000 0.500
Se2 0.500 0.500 0.500
S1 0.000 0.500 0.000
# Fermi-level density of states   3.2 states/eV/cell
# ΔE_f (raw)   -12.6 eV per formula unit

[13]
# PBE Mg5Si6, relaxed
data_Mg5Si6
_cell_length_a 6.936
_cell_length_b 3.848
_cell_length_c 15.760
_cell_angle_alpha 90.00
_cell_angle_beta 97.53
_cell_angle_gamma 90.00
_symmetry_space_group_name_H-M 'P 1 m 1'
_symmetry_Int_Tables_number 6
loop_
_symmetry_equiv_pos_as_xyz
'x,y,z'
'x,-y,z'
loop_
_atom_site_label
_atom_site_fract_x
_atom_site_fract_y
_atom_site_fract_z
Mg1 0.000 0.000 0.000
Mg2 0.038 0.500 0.176
Mg3 0.257 0.500 0.396
Mg4 0.337 0.500 0.886
Mg5 0.413 0.000 0.735
Mg6 0.589 0.500 0.248
Mg7 0.734 0.500 0.844
Mg8 0.779 0.500 0.472
Mg9 0.825 0.000 0.648
Mg10 0.918 0.000 0.323
Si1 0.025 0.000 0.827
Si2 0.078 0.500 0.739
Si3 0.089 0.000 0.506
Si4 0.173 0.500 0.601
Si5 0.275 0.000 0.270
Si6 0.311 0.500 0.048
Si7 0.384 0.000 0.133
Si8 0.466 0.000 0.516
Si9 0.532 0.500 0.613
Si10 0.557 0.000 0.375
Si11 0.690 0.500 0.030
Si12 0.745 0.000 0.131
# Fermi-level density of states   7.0 states/eV/cell
# ΔE_f (raw)   0.9 eV per formula unit

[14]
# PBE SrCa2Tc, relaxed
data_SrCa2Tc
_cell_length_a 3.6626
_cell_length_b 3.6626
_cell_length_c 33.7193
_cell_angle_alpha 90.00
_cell_angle_beta 90.00
_cell_angle_gamma 120.00
_symmetry_space_group_name_H-M 'R -3 m'
_symmetry_Int_Tables_number 166
_symmetry_space_group_name_Hall '-R 3 2"'
loop_
_atom_site_label
_atom_site_fract_x
_atom_site_fract_y
_atom_site_fract_z
Sr1 0.0000 0.0000 0.0000
Ca1 0.0000 0.0000 0.2280
Tc1 0.0000 0.0000 0.5000
# ΔH_f (0 K)   60.9 kJ/mol of atoms
# Fermi-level density of states   16.3 states/eV/cell

[15]
# PBE Hf7Zn2Co2, relaxed
data_Hf7Zn2Co2
_cell_length_a 7.211
_cell_length_b 9.841
_cell_length_c 6.270
_cell_angle_alpha 90.00
_cell_angle_beta 90.00
_cell_angle_gamma 90.00
_symmetry_space_group_name_H-M 'C m m m'
_symmetry_Int_Tables_number 65
_symmetry_space_group_name_Hall '-C 2 2'
loop_
_atom_site_label
_atom_site_fract_x
_atom_site_fract_y
_atom_site_fract_z
Hf1 0.000 0.000 0.000
Hf2 0.000 0.500 0.251
Hf3 0.250 0.250 0.254
Zn1 0.169 0.000 0.500
Co1 0.000 0.289 0.000
# ΔH_f (0 K)   3.2 kJ/mol of atoms
# Fermi-level density of states   18.1 states/eV/cell